Density functional theory data (meta-GGA SCAN) for a PBEsol-optimized structure of BaSrAu2.

Results
**Formation energy**: -889 meV/atom
**Spin magnetization**: 0.000 μB per formula unit
**Fermi-level density of states**: 2.60 states/eV per cell
**Excess energy over the best structure of this formula in the dataset**: 0 meV per atom
**E_tot**: -50.92 eV/atom
**Space group**: Amm2 (38)

Cell: 4.7212 6.2821 6.2821 Å, 40.76 90.00 90.00°
Atoms (fractional coordinates):
Ba1 0.0000 0.0000 0.0000
Sr1 0.5000 0.2765 0.2765
Au1 0.0000 0.7175 0.7175
Au2 0.5000 0.5682 0.5682

Density functional theory data (meta-GGA SCAN) for a PBEsol-optimized structure of BaSr2Au.

Results
**Formation energy**: -452 meV/atom
**Spin magnetization**: 0.345 μB per formula unit
**Fermi-level density of states**: 3.97 states/eV per cell
**Excess energy over the best structure of this formula in the dataset**: 23 meV per atom
**E_tot**: -38.77 eV/atom
**Space group**: Cm (8)

Cell: 4.4456 4.4456 11.0826 Å, 101.66 101.66 60.11°
Atoms (fractional coordinates):
Ba1 0.0000 0.0000 0.0000
Sr1 0.2192 0.2192 0.6572
Sr2 0.4443 0.4443 0.3325
Au1 0.7251 0.7251 0.1749

Density functional theory data (meta-GGA SCAN) for a PBEsol-optimized structure of BaSr2Au.

Results
**Formation energy**: -452 meV/atom
**Spin magnetization**: 0.031 μB per formula unit
**Fermi-level density of states**: 2.37 states/eV per cell
**Excess energy over the best structure of this formula in the dataset**: 24 meV per atom
**E_tot**: -38.77 eV/atom
**Space group**: Amm2 (38)

Cell: 4.2867 8.6332 8.6332 Å, 32.53 90.00 90.00°
Atoms (fractional coordinates):
Ba1 0.0000 0.0000 0.0000
Sr1 0.0000 0.6875 0.6875
Sr2 0.5000 0.3458 0.3458
Au1 0.5000 0.5405 0.5405

Density functional theory data (meta-GGA SCAN) for a PBEsol-optimized structure of BaSr2Au.

Results
**Formation energy**: -454 meV/atom
**Spin magnetization**: 0.000 μB per formula unit
**Fermi-level density of states**: 3.47 states/eV per cell
**Excess energy over the best structure of this formula in the dataset**: 21 meV per atom
**E_tot**: -38.77 eV/atom
**Space group**: P4/mmm (123)

Cell: 3.8958 3.8958 10.3329 Å, 90.00 90.00 90.00°
Atoms (fractional coordinates):
Ba1 0.0000 0.0000 0.0000
Sr1 0.5000 0.5000 0.3288
Sr2 0.5000 0.5000 0.6712
Au1 0.0000 0.0000 0.5000

Density functional theory data (meta-GGA SCAN) for a PBEsol-optimized structure of BaTaAu.

Results
**Formation energy**: 977 meV/atom
**Spin magnetization**: 0.000 μB per formula unit
**Fermi-level density of states**: 1.51 states/eV per cell
**E_tot**: -57.45 eV/atom
**Space group**: F-43m (216)

Cell: 4.7837 4.7837 4.7837 Å, 60.00 60.00 60.00°
Atoms (fractional coordinates):
Ba1 0.0000 0.0000 0.0000
Ta1 0.7500 0.7500 0.7500
Au1 0.5000 0.5000 0.5000

Density functional theory data (meta-GGA SCAN) for a PBEsol-optimized structure of BaTaTi2Au.

Results
**Formation energy**: 713 meV/atom
**Spin magnetization**: 1.667 μB per formula unit
**Fermi-level density of states**: 5.46 states/eV per cell
**E_tot**: -40.76 eV/atom
**Space group**: P4/mmm (123)

Cell: 5.0228 5.0228 5.1114 Å, 90.00 90.00 90.00°
Atoms (fractional coordinates):
Ba1 0.0000 0.0000 0.0000
Ta1 0.5000 0.5000 0.0000
Ti1 0.0000 0.5000 0.5000
Ti2 0.5000 0.0000 0.5000
Au1 0.5000 0.5000 0.5000

Density functional theory data (meta-GGA SCAN) for a PBEsol-optimized structure of BaTeAu2.

Results
**Spin magnetization**: 0.000 μB per formula unit
**Fermi-level density of states**: 1.55 states/eV per cell
**E_tot**: -54.24 eV/atom
**Space group**: P4/mmm (123)
**Energy relative to the elements, uncorrected**: -44.2 kJ per mole of atoms

Cell: 4.8183 4.8183 4.4521 Å, 90.00 90.00 90.00°
Atoms (fractional coordinates):
Ba1 0.0000 0.0000 0.0000
Te1 0.5000 0.5000 0.0000
Au1 0.0000 0.5000 0.5000
Au2 0.5000 0.0000 0.5000

Density functional theory data (meta-GGA SCAN) for a PBEsol-optimized structure of BaTeAu2.

Results
**Spin magnetization**: 0.000 μB per formula unit
**Fermi-level density of states**: 0.73 states/eV per cell
**E_tot**: -54.21 eV/atom
**Space group**: F-43m (216)
**Energy relative to the elements, uncorrected**: -41.6 kJ per mole of atoms

Cell: 5.2828 5.2828 5.2828 Å, 60.00 60.00 60.00°
Atoms (fractional coordinates):
Ba1 0.0000 0.0000 0.0000
Te1 0.7500 0.7500 0.7500
Au1 0.2500 0.2500 0.2500
Au2 0.5000 0.5000 0.5000